1.
# AlCu3Ni

A relaxed structure of AlCu3Ni (GGA-PBE, Alexandria).

Computed properties:
Total magnetization = 0.000 μB/f.u.
Space-group type = Pm-3m (221)
Energy above the most stable polymorph in this dataset = 0.00 eV/f.u.
VASP energy = -0.327 Ry/atom

a b c (Å): 5.7384 5.7384 5.7384
angles (deg): 90.00 90.00 90.00
Positions (direct):
Al  0.0000  0.0000  0.5000
Al  0.0000  0.5000  0.0000
Al  0.5000  0.0000  0.0000
Cu  0.2443  0.2443  0.2443
Cu  0.2443  0.2443  0.7557
Cu  0.2443  0.7557  0.2443
Cu  0.2443  0.7557  0.7557
Cu  0.5000  0.5000  0.5000
Cu  0.7557  0.2443  0.2443
Cu  0.7557  0.2443  0.7557
Cu  0.7557  0.7557  0.2443
Cu  0.7557  0.7557  0.7557
Ni  0.0000  0.5000  0.5000
Ni  0.5000  0.0000  0.5000
Ni  0.5000  0.5000  0.0000

2.
# Ba12Cd3S5

A relaxed structure of Ba12Cd3S5 (GGA-PBE, Alexandria).

Computed properties:
Total magnetization = 0.005 μB/f.u.
Space-group type = Ia-3d (230)
VASP energy = -0.241 Ry/atom
ΔE_f (raw) = -0.95 eV/atom

a b c (Å): 17.0199 17.0199 17.0199
angles (deg): 109.47 109.47 109.47
Positions (direct):
Ba  0.0324  0.2102  0.1228
Ba  0.0324  0.3221  0.9096
Ba  0.0875  0.7102  0.6779
Ba  0.0875  0.8772  0.4096
Ba  0.0904  0.6228  0.4125
Ba  0.0904  0.9676  0.6779
Ba  0.1228  0.0324  0.2102
Ba  0.1228  0.5904  0.9125
Ba  0.1779  0.2102  0.5875
Ba  0.1779  0.4676  0.5904
Ba  0.2102  0.1228  0.0324
Ba  0.2102  0.5875  0.1779
Ba  0.2898  0.3221  0.9125
Ba  0.2898  0.4676  0.3772
Ba  0.3221  0.9096  0.0324
Ba  0.3221  0.9125  0.2898
Ba  0.3772  0.2898  0.4676
Ba  0.3772  0.5875  0.9096
Ba  0.4096  0.0875  0.8772
Ba  0.4096  0.8221  0.5324
Ba  0.4125  0.0904  0.6228
Ba  0.4125  0.8221  0.7898
Ba  0.4676  0.3772  0.2898
Ba  0.4676  0.5904  0.1779
Ba  0.5324  0.4096  0.8221
Ba  0.5324  0.6228  0.7102
Ba  0.5875  0.1779  0.2102
Ba  0.5875  0.9096  0.3772
Ba  0.5904  0.1779  0.4676
Ba  0.5904  0.9125  0.1228
Ba  0.6228  0.4125  0.0904
Ba  0.6228  0.7102  0.5324
Ba  0.6779  0.0875  0.7102
Ba  0.6779  0.0904  0.9676
Ba  0.7102  0.5324  0.6228
Ba  0.7102  0.6779  0.0875
Ba  0.7898  0.4125  0.8221
Ba  0.7898  0.8772  0.9676
Ba  0.8221  0.5324  0.4096
Ba  0.8221  0.7898  0.4125
Ba  0.8772  0.4096  0.0875
Ba  0.8772  0.9676  0.7898
Ba  0.9096  0.0324  0.3221
Ba  0.9096  0.3772  0.5875
Ba  0.9125  0.1228  0.5904
Ba  0.9125  0.2898  0.3221
Ba  0.9676  0.6779  0.0904
Ba  0.9676  0.7898  0.8772
Cd  0.1250  0.2500  0.3750
Cd  0.1250  0.3750  0.7500
Cd  0.2500  0.3750  0.1250
Cd  0.2500  0.8750  0.6250
Cd  0.3750  0.1250  0.2500
Cd  0.3750  0.7500  0.1250
Cd  0.6250  0.2500  0.8750
Cd  0.6250  0.8750  0.7500
Cd  0.7500  0.1250  0.3750
Cd  0.7500  0.6250  0.8750
Cd  0.8750  0.6250  0.2500
Cd  0.8750  0.7500  0.6250
S  0.0000  0.0000  0.0000
S  0.0000  0.0000  0.5000
S  0.0000  0.5000  0.0000
S  0.0000  0.5000  0.5000
S  0.1250  0.7500  0.8750
S  0.1250  0.8750  0.2500
S  0.2500  0.1250  0.8750
S  0.2500  0.6250  0.3750
S  0.3750  0.2500  0.6250
S  0.3750  0.6250  0.7500
S  0.5000  0.0000  0.0000
S  0.5000  0.0000  0.5000
S  0.5000  0.5000  0.0000
S  0.5000  0.5000  0.5000
S  0.6250  0.3750  0.2500
S  0.6250  0.7500  0.3750
S  0.7500  0.3750  0.6250
S  0.7500  0.8750  0.1250
S  0.8750  0.1250  0.7500
S  0.8750  0.2500  0.1250

3.
# Tl4CdSi

A relaxed structure of Tl4CdSi (GGA-PBE, Alexandria).

Computed properties:
Total magnetization = 0.000 μB/f.u.
Space-group type = F-43m (216)
VASP energy = -0.159 Ry/atom
ΔE_f (raw) = 0.47 eV/atom

a b c (Å): 6.3548 6.3548 6.3548
angles (deg): 60.00 60.00 60.00
Positions (direct):
Tl  0.3755  0.3755  0.3755
Tl  0.3755  0.3755  0.8735
Tl  0.3755  0.8735  0.3755
Tl  0.8735  0.3755  0.3755
Cd  0.0000  0.0000  0.0000
Si  0.7500  0.7500  0.7500

4.
# Pr2AlIr

A relaxed structure of Pr2AlIr (GGA-PBE, Alexandria).

Computed properties:
Total magnetization = 0.000 μB/f.u.
Space-group type = P2_1/m (11)
VASP energy = -0.448 Ry/atom

a b c (Å): 6.2605 3.9206 8.9366
angles (deg): 90.00 108.40 90.00
Positions (direct):
Pr  0.2003  0.2500  0.4081
Pr  0.2697  0.7500  0.0565
Pr  0.7303  0.2500  0.9435
Pr  0.7997  0.7500  0.5919
Al  0.3381  0.7500  0.7178
Al  0.6619  0.2500  0.2822
Ir  0.1201  0.2500  0.7901
Ir  0.8799  0.7500  0.2099

5.
# LaCe3Pr2Bi6

A relaxed structure of LaCe3Pr2Bi6 (GGA-PBE, Alexandria).

Computed properties:
Total magnetization = 2.551 μB/f.u.
Space-group type = C2/m (12)
VASP energy = -0.406 Ry/atom

a b c (Å): 8.0240 8.0240 8.0282
angles (deg): 99.59 99.59 120.00
Positions (direct):
La  0.0000  0.0000  0.0000
Ce  0.1663  0.8337  0.5000
Ce  0.5000  0.5000  0.5000
Ce  0.8337  0.1663  0.5000
Pr  0.3332  0.6668  0.0000
Pr  0.6668  0.3332  0.0000
Bi  0.0851  0.4196  0.2553
Bi  0.2497  0.2497  0.7452
Bi  0.4196  0.0851  0.2553
Bi  0.5804  0.9149  0.7447
Bi  0.7503  0.7503  0.2548
Bi  0.9149  0.5804  0.7447

6.
# YFe2Ru

A relaxed structure of YFe2Ru (GGA-PBE, Alexandria).

Computed properties:
Total magnetization = 5.610 μB/f.u.
Space-group type = P2/m (10)
VASP energy = -0.583 Ry/atom

a b c (Å): 2.9772 4.2176 5.5169
angles (deg): 90.00 105.00 90.00
Positions (direct):
Y  0.0000  0.0000  0.0000
Fe  0.2844  0.5000  0.6904
Fe  0.7156  0.5000  0.3096
Ru  0.5000  0.0000  0.5000

Which formula does entry 5 have?
LaCe3Pr2Bi6

What did the first record say?
# AlCu3Ni

A relaxed structure of AlCu3Ni (GGA-PBE, Alexandria).

Computed properties:
Total magnetization = 0.000 μB/f.u.
Space-group type = Pm-3m (221)
Energy above the most stable polymorph in this dataset = 0.00 eV/f.u.
VASP energy = -0.327 Ry/atom

a b c (Å): 5.7384 5.7384 5.7384
angles (deg): 90.00 90.00 90.00
Positions (direct):
Al  0.0000  0.0000  0.5000
Al  0.0000  0.5000  0.0000
Al  0.5000  0.0000  0.0000
Cu  0.2443  0.2443  0.2443
Cu  0.2443  0.2443  0.7557
Cu  0.2443  0.7557  0.2443
Cu  0.2443  0.7557  0.7557
Cu  0.5000  0.5000  0.5000
Cu  0.7557  0.2443  0.2443
Cu  0.7557  0.2443  0.7557
Cu  0.7557  0.7557  0.2443
Cu  0.7557  0.7557  0.7557
Ni  0.0000  0.5000  0.5000
Ni  0.5000  0.0000  0.5000
Ni  0.5000  0.5000  0.0000